(A)
DFT (PBE) results for LiPuCo after structural relaxation.

Cell: 4.2289 4.2289 4.2289 Å, 60.00 60.00 60.00°
Fractional positions:
Li  0.0000  0.0000  0.0000
Pu  0.2500  0.2500  0.2500
Co  0.5000  0.5000  0.5000

Summary:
space-group type = F-43m (216)
spin magnetization = 1.88 μB per atom

(B)
DFT (PBE) results for LiPuCo after structural relaxation.

Cell: 4.2826 4.2826 4.2826 Å, 60.00 60.00 60.00°
Fractional positions:
Li  0.0000  0.0000  0.0000
Pu  0.5000  0.5000  0.5000
Co  0.2500  0.2500  0.2500

Summary:
space-group type = F-43m (216)
spin magnetization = 1.79 μB per atom

Short version: (A) is the least stable of them.

(A)
DFT (PBE) results for RbLiCo after structural relaxation.

Cell: 5.2189 5.2189 5.2189 Å, 60.00 60.00 60.00°
Fractional positions:
Rb  0.0000  0.0000  0.0000
Li  0.2500  0.2500  0.2500
Co  0.7500  0.7500  0.7500

Summary:
space-group type = F-43m (216)
spin magnetization = 0.44 μB per atom

(B)
DFT (PBE) results for RbLiCo after structural relaxation.

Cell: 5.0679 5.0679 5.0679 Å, 60.00 60.00 60.00°
Fractional positions:
Rb  0.0000  0.0000  0.0000
Li  0.7500  0.7500  0.7500
Co  0.5000  0.5000  0.5000

Summary:
space-group type = F-43m (216)
spin magnetization = 0.56 μB per atom

Short version: (A) is the least stable of them.

(A)
DFT (PBE) results for RbLiCoRe after structural relaxation.

Cell: 4.7077 4.7077 4.7077 Å, 60.00 60.00 60.00°
Fractional positions:
Rb  0.0000  0.0000  0.0000
Li  0.7500  0.7500  0.7500
Co  0.2500  0.2500  0.2500
Re  0.5000  0.5000  0.5000

Summary:
space-group type = F-43m (216)
spin magnetization = 1.01 μB per atom

(B)
DFT (PBE) results for RbLiCoRe after structural relaxation.

Cell: 4.5621 4.5621 4.5621 Å, 60.00 60.00 60.00°
Fractional positions:
Rb  0.0000  0.0000  0.0000
Li  0.7500  0.7500  0.7500
Co  0.5000  0.5000  0.5000
Re  0.2500  0.2500  0.2500

Summary:
space-group type = F-43m (216)
spin magnetization = 0.00 μB per atom

(C)
DFT (PBE) results for RbLiCoRe after structural relaxation.

Cell: 4.7941 4.7941 4.7941 Å, 60.00 60.00 60.00°
Fractional positions:
Rb  0.0000  0.0000  0.0000
Li  0.5000  0.5000  0.5000
Co  0.7500  0.7500  0.7500
Re  0.2500  0.2500  0.2500

Summary:
space-group type = F-43m (216)
spin magnetization = 1.06 μB per atom

Short version: (C) is the least stable of them.